Hf2AgMo | PBE | optimized geometry

Calculated values
ΔE_f	0.31	eV/atom
calculated density	12.5	g/cm³
total moment	0.0	μB/f.u.

Cell and atoms, written as CIF:
```
data_Hf2AgMo
_chemical_formula_sum 'Hf8 Ag4 Mo4'
_cell_length_a 6.680
_cell_length_b 6.680
_cell_length_c 6.680
_cell_angle_alpha 90.00
_cell_angle_beta 90.00
_cell_angle_gamma 90.00
_space_group_name_H-M_alt 'F -4 3 m'
_space_group_IT_number 216
_space_group_name_Hall 'F -4 2 3'
loop_
_atom_site_label
_atom_site_type_symbol
_atom_site_fract_x
_atom_site_fract_y
_atom_site_fract_z
Hf1 Hf 0.000 0.000 0.000
Hf2 Hf 0.250 0.250 0.250
Ag1 Ag 0.250 0.250 0.750
Mo1 Mo 0.000 0.000 0.500
```